The following is a DFT calculation (SCAN) of ZrScAl at its PBEsol-relaxed geometry.

CIF file:
```
data_ZrScAl
_chemical_formula_sum 'Zr2 Sc2 Al2'
_cell_length_a 3.154
_cell_length_b 3.154
_cell_length_c 12.219
_cell_angle_alpha 90.00
_cell_angle_beta 90.00
_cell_angle_gamma 90.00
_symmetry_space_group_name_H-M 'I 4 m m'
_symmetry_Int_Tables_number 107
_symmetry_space_group_name_Hall 'I 4 -2'
loop_
_atom_site_label
_atom_site_type_symbol
_atom_site_fract_x
_atom_site_fract_y
_atom_site_fract_z
_atom_site_occupancy
Zr1 Zr 0.000 0.000 0.000 1
Sc1 Sc 0.000 0.000 0.318 1
Al1 Al 0.000 0.000 0.657 1
```

Computed properties:
Mass density = 4.5 g/cm3
ΔE to the lowest computed polymorph = 0.000 eV/atom
Total magnetic moment = 0.003 μB/f.u.
Energy of formation = -317 meV per atom